Entry 1:
PBE Zr2BeGaC, relaxed; space group = No. 123; energy above the most stable polymorph in this dataset = 158 meV per atom
1.0
4.6602 0.0000 0.0000
0.0000 4.6602 0.0000
0.0000 0.0000 3.4831
Zr Be Ga C
2 1 1 1
direct
0.0000 0.5000 0.0000
0.5000 0.0000 0.0000
0.0000 0.0000 0.5000
0.5000 0.5000 0.5000
0.0000 0.0000 0.0000


Entry 2:
PBE BaHgSe2, relaxed; space group = No. 62; uncorrected formation energy = -110 kJ per mole of atoms
1.0
7.9229 0.0000 0.0000
0.0000 4.3794 0.0000
0.0000 0.0000 14.9009
Ba Hg Se
4 4 8
direct
0.1600 0.2500 0.1491
0.3400 0.7500 0.6491
0.6600 0.2500 0.3509
0.8400 0.7500 0.8509
0.1543 0.7500 0.3987
0.3457 0.2500 0.8987
0.6543 0.7500 0.1013
0.8457 0.2500 0.6013
0.0628 0.2500 0.7313
0.2074 0.7500 0.9730
0.2926 0.2500 0.4730
0.4372 0.7500 0.2313
0.5628 0.2500 0.7687
0.7074 0.7500 0.5270
0.7926 0.2500 0.0270
0.9372 0.7500 0.2687


Entry 3:
PBE Sm6Te5O, relaxed; space group = No. 12; uncorrected formation energy = -146 kJ per mole of atoms
1.0
3.7847 -6.4832 0.0000
3.7847 6.4832 0.0000
-2.4154 0.0000 6.9265
Sm Te O
6 5 1
direct
0.0664 0.3443 0.7090
0.2039 0.2039 0.2578
0.3443 0.0664 0.7090
0.6557 0.9336 0.2910
0.7961 0.7961 0.7422
0.9336 0.6557 0.2910
0.1863 0.8137 0.0000
0.3377 0.6623 0.5000
0.5000 0.5000 0.0000
0.6623 0.3377 0.5000
0.8137 0.1863 0.0000
0.0000 0.0000 0.5000


Entry 4:
PBE Pr8InAu2, relaxed; space group = No. 12; calculated total energy = -51.5 eV per formula unit
1.0
8.9980 -2.5767 0.0000
8.9980 2.5767 0.0000
-3.3260 0.0000 7.4509
Pr In Au
8 1 2
direct
0.0434 0.0434 0.2625
0.1843 0.1843 0.7837
0.3207 0.3207 0.5311
0.4086 0.4086 0.0395
0.5914 0.5914 0.9605
0.6793 0.6793 0.4689
0.8157 0.8157 0.2163
0.9566 0.9566 0.7375
0.5000 0.5000 0.5000
0.1907 0.1907 0.1581
0.8093 0.8093 0.8419


Entry 5:
PBE AcPrCuSe4, relaxed; space group = No. 11; uncorrected formation energy = -141 kJ per mole of atoms
1.0
7.2357 0.0000 0.0000
0.0000 6.0524 0.0000
-2.5529 0.0000 8.2747
Ac Pr Cu Se
2 2 2 8
direct
0.2356 0.2500 0.4321
0.7644 0.7500 0.5679
0.2333 0.2500 0.9367
0.7667 0.7500 0.0633
0.2446 0.7500 0.1837
0.7554 0.2500 0.8163
0.0729 0.7500 0.3847
0.0776 0.7500 0.8992
0.4878 0.5092 0.7551
0.4878 0.9908 0.7551
0.5122 0.0092 0.2449
0.5122 0.4908 0.2449
0.9224 0.2500 0.1008
0.9271 0.2500 0.6153


Entry 6:
PBE Cu4H3Se4, relaxed; space group = No. 1; calculated total energy = -39.4 eV per formula unit
1.0
2.8223 0.0000 0.0000
1.3985 5.7116 0.0000
0.0294 2.9391 11.2883
Cu H Se
4 3 4
direct
0.0000 0.0000 0.0000
0.1216 0.7516 0.5371
0.2999 0.4026 0.0099
0.4487 0.0982 0.5680
0.0271 0.9386 0.6268
0.5416 0.9151 0.4770
0.8838 0.2335 0.0554
0.1853 0.6263 0.1767
0.2507 0.4894 0.4037
0.3130 0.3712 0.6895
0.6203 0.7628 0.8927


Entry 7:
PBE ZnHgIN2, relaxed; space group = No. 123; energy above the most stable polymorph in this dataset = 0 meV per atom; uncorrected formation energy = 137 kJ per mole of atoms
1.0
4.2049 0.0000 0.0000
0.0000 4.2049 0.0000
0.0000 0.0000 6.3599
Zn Hg I N
1 1 1 2
direct
0.0000 0.0000 0.0000
0.5000 0.5000 0.5000
0.0000 0.0000 0.5000
0.0000 0.5000 0.0000
0.5000 0.0000 0.0000


Entry 8:
PBE Nb3PdCl, relaxed; space group = No. 221; energy above the most stable polymorph in this dataset = 0 meV per atom; uncorrected formation energy = 60 kJ per mole of atoms
1.0
4.5345 0.0000 0.0000
0.0000 4.5345 0.0000
0.0000 0.0000 4.5345
Nb Pd Cl
3 1 1
direct
0.0000 0.0000 0.5000
0.0000 0.5000 0.0000
0.5000 0.0000 0.0000
0.5000 0.5000 0.5000
0.0000 0.0000 0.0000


Entry 9:
PBE RbLiAg2Au, relaxed; space group = No. 123; calculated total energy = -11.8 eV per formula unit
1.0
5.4020 0.0000 0.0000
0.0000 5.4020 0.0000
0.0000 0.0000 4.9075
Rb Li Ag Au
1 1 2 1
direct
0.0000 0.0000 0.0000
0.5000 0.5000 0.0000
0.0000 0.5000 0.5000
0.5000 0.0000 0.5000
0.5000 0.5000 0.5000


Entry 10:
PBE CeTiSe3, relaxed; space group = No. 11; energy above the most stable polymorph in this dataset = 0 meV per atom; uncorrected formation energy = -141 kJ per mole of atoms
1.0
7.5113 0.0000 0.0000
0.0000 3.9195 0.0000
-1.0883 0.0000 8.0200
Ce Ti Se
2 2 6
direct
0.1245 0.2500 0.2830
0.8755 0.7500 0.7170
0.3609 0.7500 0.8597
0.6391 0.2500 0.1403
0.1319 0.2500 0.8985
0.2135 0.7500 0.5511
0.4159 0.7500 0.1848
0.5841 0.2500 0.8152
0.7865 0.2500 0.4489
0.8681 0.7500 0.1015


Entry 11:
PBE Pu3GaAg3Se8, relaxed; space group = No. 166; uncorrected formation energy = -76 kJ per mole of atoms
1.0
4.1597 2.4016 6.3046
-4.1597 2.4016 6.3046
0.0000 -4.8032 6.3046
Pu Ga Ag Se
3 1 3 8
direct
0.0000 0.5000 0.5000
0.5000 0.0000 0.5000
0.5000 0.5000 0.0000
0.0000 0.0000 0.0000
0.0000 0.0000 0.5000
0.0000 0.5000 0.0000
0.5000 0.0000 0.0000
0.2333 0.7663 0.7663
0.2337 0.2337 0.7667
0.2337 0.7667 0.2337
0.2516 0.2516 0.2516
0.7484 0.7484 0.7484
0.7663 0.2333 0.7663
0.7663 0.7663 0.2333
0.7667 0.2337 0.2337


Entry 12:
PBE Rb3Ga5Cl12, relaxed; space group = No. 230; uncorrected formation energy = -115 kJ per mole of atoms
1.0
-8.7261 8.7261 8.7261
8.7261 -8.7261 8.7261
8.7261 8.7261 -8.7261
Rb Ga Cl
12 20 48
direct
0.1250 0.2500 0.3750
0.1250 0.3750 0.7500
0.2500 0.3750 0.1250
0.2500 0.8750 0.6250
0.3750 0.1250 0.2500
0.3750 0.7500 0.1250
0.6250 0.2500 0.8750
0.6250 0.8750 0.7500
0.7500 0.1250 0.3750
0.7500 0.6250 0.8750
0.8750 0.6250 0.2500
0.8750 0.7500 0.6250
0.0000 0.0000 0.0000
0.0000 0.0000 0.5000
0.0000 0.5000 0.0000
0.0000 0.5000 0.5000
0.1250 0.7500 0.8750
0.1250 0.8750 0.2500
0.2500 0.1250 0.8750
0.2500 0.6250 0.3750
0.3750 0.2500 0.6250
0.3750 0.6250 0.7500
0.5000 0.0000 0.0000
0.5000 0.0000 0.5000
0.5000 0.5000 0.0000
0.5000 0.5000 0.5000
0.6250 0.3750 0.2500
0.6250 0.7500 0.3750
0.7500 0.3750 0.6250
0.7500 0.8750 0.1250
0.8750 0.1250 0.7500
0.8750 0.2500 0.1250
0.0087 0.2070 0.1159
0.0087 0.3017 0.8927
0.0910 0.7070 0.6983
0.0910 0.8841 0.3927
0.1073 0.6159 0.4090
0.1073 0.9913 0.6983
0.1159 0.0087 0.2070
0.1159 0.6073 0.9090
0.1983 0.2070 0.5910
0.1983 0.4913 0.6073
0.2070 0.1159 0.0087
0.2070 0.5910 0.1983
0.2930 0.3017 0.9090
0.2930 0.4913 0.3841
0.3017 0.8927 0.0087
0.3017 0.9090 0.2930
0.3841 0.2930 0.4913
0.3841 0.5910 0.8927
0.3927 0.0910 0.8841
0.3927 0.8017 0.5087
0.4090 0.1073 0.6159
0.4090 0.8017 0.7930
0.4913 0.3841 0.2930
0.4913 0.6073 0.1983
0.5087 0.3927 0.8017
0.5087 0.6159 0.7070
0.5910 0.1983 0.2070
0.5910 0.8927 0.3841
0.6073 0.1983 0.4913
0.6073 0.9090 0.1159
0.6159 0.4090 0.1073
0.6159 0.7070 0.5087
0.6983 0.0910 0.7070
0.6983 0.1073 0.9913
0.7070 0.5087 0.6159
0.7070 0.6983 0.0910
0.7930 0.4090 0.8017
0.7930 0.8841 0.9913
0.8017 0.5087 0.3927
0.8017 0.7930 0.4090
0.8841 0.3927 0.0910
0.8841 0.9913 0.7930
0.8927 0.0087 0.3017
0.8927 0.3841 0.5910
0.9090 0.1159 0.6073
0.9090 0.2930 0.3017
0.9913 0.6983 0.1073
0.9913 0.7930 0.8841


Entry 13:
PBE Pm6MgAl2, relaxed; space group = No. 12; calculated total energy = -36.6 eV per formula unit
1.0
8.0867 -3.8307 0.0000
8.0867 3.8307 0.0000
-1.5738 0.0000 4.8485
Pm Mg Al
6 1 2
direct
0.0722 0.5878 0.3296
0.2325 0.7675 0.0000
0.4122 0.9278 0.6704
0.5878 0.0722 0.3296
0.7675 0.2325 0.0000
0.9278 0.4122 0.6704
0.5000 0.5000 0.5000
0.1686 0.1686 0.1690
0.8314 0.8314 0.8310


Entry 14:
PBE Y2Ti2Ge2C, relaxed; space group = No. 139; calculated total energy = -53.1 eV per formula unit
1.0
-2.0864 2.0864 7.5685
2.0864 -2.0864 7.5685
2.0864 2.0864 -7.5685
Y Ti Ge C
2 2 2 1
direct
0.1663 0.1663 0.0000
0.8337 0.8337 0.0000
0.0000 0.5000 0.5000
0.5000 0.0000 0.5000
0.3735 0.3735 0.0000
0.6265 0.6265 0.0000
0.0000 0.0000 0.0000


Entry 15:
PBE CePuMgAl, relaxed; space group = No. 216; calculated total energy = -25.6 eV per formula unit
1.0
0.0000 3.6916 3.6916
3.6916 0.0000 3.6916
3.6916 3.6916 0.0000
Ce Pu Mg Al
1 1 1 1
direct
0.0000 0.0000 0.0000
0.5000 0.5000 0.5000
0.2500 0.2500 0.2500
0.7500 0.7500 0.7500


Entry 16:
PBE La5Al2Co, relaxed; space group = No. 55; calculated total energy = -41.0 eV per formula unit
1.0
8.0861 0.0000 0.0000
0.0000 12.0729 0.0000
0.0000 0.0000 4.8609
La Al Co
10 4 2
direct
0.0000 0.0000 0.0000
0.1308 0.3028 0.0000
0.1839 0.5727 0.5000
0.3161 0.0727 0.5000
0.3692 0.8028 0.0000
0.5000 0.5000 0.0000
0.6308 0.1972 0.0000
0.6839 0.9273 0.5000
0.8161 0.4273 0.5000
0.8692 0.6972 0.0000
0.0788 0.8369 0.5000
0.4212 0.3369 0.5000
0.5788 0.6631 0.5000
0.9212 0.1631 0.5000
0.0000 0.5000 0.0000
0.5000 0.0000 0.0000


Entry 17:
PBE Y2CSe, relaxed; space group = No. 160; uncorrected formation energy = -107 kJ per mole of atoms
1.0
1.8713 1.0804 6.7440
-1.8713 1.0804 6.7440
0.0000 -2.1608 6.7440
Y C Se
2 1 1
direct
0.0000 0.0000 0.0000
0.2003 0.2003 0.2003
0.5990 0.5990 0.5990
0.7676 0.7676 0.7676


Entry 18:
PBE RbSnAsS6, relaxed; space group = No. 5; uncorrected formation energy = -6 kJ per mole of atoms
1.0
3.0870 -5.3557 0.0000
3.0870 5.3557 0.0000
-0.0025 0.0000 8.0695
Rb Sn As S
1 1 1 6
direct
0.0000 0.0000 0.0000
0.6665 0.3335 0.5000
0.3334 0.6666 0.5000
0.0257 0.3739 0.3189
0.0265 0.6521 0.6811
0.3481 0.3743 0.6812
0.3479 0.9735 0.3189
0.6257 0.6519 0.3188
0.6261 0.9743 0.6811


Entry 19:
PBE SrCSe2N, relaxed; space group = No. 123; energy above the most stable polymorph in this dataset = 1809 meV per atom; uncorrected formation energy = 206 kJ per mole of atoms
1.0
6.0341 0.0000 0.0000
0.0000 6.0341 0.0000
0.0000 0.0000 4.9422
Sr C Se N
1 1 2 1
direct
0.0000 0.0000 0.0000
0.5000 0.5000 0.5000
0.0000 0.5000 0.0000
0.5000 0.0000 0.0000
0.0000 0.0000 0.5000


Entry 20:
PBE ErSc2TeO8, relaxed; space group = No. 65; uncorrected formation energy = -241 kJ per mole of atoms
1.0
3.4057 -3.4329 0.0000
3.4057 3.4329 0.0000
0.0000 0.0000 6.6092
Er Sc Te O
1 2 1 8
direct
0.0000 0.0000 0.0000
0.5000 0.5000 0.2500
0.5000 0.5000 0.7500
0.0000 0.0000 0.5000
0.1913 0.8087 0.2825
0.1913 0.8087 0.7175
0.2872 0.2872 0.5000
0.3183 0.3183 0.0000
0.6817 0.6817 0.0000
0.7128 0.7128 0.5000
0.8087 0.1913 0.2825
0.8087 0.1913 0.7175